[1]
First-principles (PBEsol) data for a relaxed Pr2SiCN2O4 crystal, as listed in Alexandria.

```
data_Pr2SiCN2O4
_chemical_formula_sum 'Pr4 Si2 C2 N4 O8'
_cell_length_a 6.4432
_cell_length_b 6.7025
_cell_length_c 6.7567
_cell_angle_alpha 86.05
_cell_angle_beta 72.57
_cell_angle_gamma 73.84
_space_group_name_H-M_alt 'P -1'
_space_group_IT_number 2
_space_group_name_Hall '-P 1'
loop_
_atom_site_label
_atom_site_type_symbol
_atom_site_fract_x
_atom_site_fract_y
_atom_site_fract_z
Pr1 Pr 0.0448 0.1757 0.2177
Pr2 Pr 0.4343 0.2638 0.6692
Si1 Si 0.4574 0.7997 0.8124
C1 C 0.0649 0.6764 0.3075
N1 N 0.0214 0.4389 0.7546
N2 N 0.1432 0.7988 0.3730
O1 O 0.2217 0.9884 0.8840
O2 O 0.3596 0.1106 0.3758
O3 O 0.3853 0.6330 0.6963
O4 O 0.4091 0.2714 0.0170
```

DFT total energy = -0.321 Ha/atom
Crystal system = triclinic
Formation energy from raw total energies = -2.3613 eV/atom

=====

[2]
First-principles (PBEsol) data for a relaxed RbCNO2 crystal, as listed in Alexandria.

```
data_RbCNO2
_chemical_formula_sum 'Rb1 C1 N1 O2'
_cell_length_a 5.2886
_cell_length_b 5.2886
_cell_length_c 6.1732
_cell_angle_alpha 90.00
_cell_angle_beta 90.00
_cell_angle_gamma 90.00
_space_group_name_H-M_alt 'P 4/m m m'
_space_group_IT_number 123
_space_group_name_Hall '-P 4 2'
loop_
_atom_site_label
_atom_site_type_symbol
_atom_site_fract_x
_atom_site_fract_y
_atom_site_fract_z
Rb1 Rb 0.0000 0.0000 0.0000
C1 C 0.5000 0.5000 0.5000
N1 N 0.0000 0.0000 0.5000
O1 O 0.0000 0.5000 0.0000
```

DFT total energy = -0.101 Ha/atom
Crystal system = tetragonal
Formation energy from raw total energies = 3.1858 eV/atom

=====

[3]
First-principles (PBEsol) data for a relaxed RuCN2O crystal, as listed in Alexandria.

```
data_RuCN2O
_chemical_formula_sum 'Ru1 C1 N2 O1'
_cell_length_a 3.3074
_cell_length_b 3.3074
_cell_length_c 3.3840
_cell_angle_alpha 90.00
_cell_angle_beta 90.00
_cell_angle_gamma 90.00
_space_group_name_H-M_alt 'P 4/m m m'
_space_group_IT_number 123
_space_group_name_Hall '-P 4 2'
loop_
_atom_site_label
_atom_site_type_symbol
_atom_site_fract_x
_atom_site_fract_y
_atom_site_fract_z
Ru1 Ru 0.0000 0.0000 0.0000
C1 C 0.5000 0.5000 0.5000
N1 N 0.0000 0.5000 0.5000
O1 O 0.5000 0.5000 0.0000
```

DFT total energy = -0.248 Ha/atom
Crystal system = tetragonal
Formation energy from raw total energies = 1.6757 eV/atom